Here is an optimized crystal structure of Pr4InPbO from Alexandria. Energies are from PBE.

Lattice parameters (Å, degrees): 6.807 17.825 6.787 90.00 90.00 90.00
Space group Cmcm (No. 63)
Symmetry-distinct sites (fractional):
Pr 0.000 0.066 0.250 (multiplicity 4)
Pr 0.000 0.419 0.250 (multiplicity 4)
Pr 0.250 0.250 0.000 (multiplicity 8)
In 0.000 0.114 0.750 (multiplicity 4)
Pb 0.000 0.391 0.750 (multiplicity 4)
O 0.000 0.278 0.250 (multiplicity 4)

Results
**E_form (uncorrected)**: -1094 meV per atom

=====

Here is an optimized crystal structure of H3SeCl from Alexandria. Energies are from PBE.

Lattice parameters (Å, degrees): 3.708 3.708 3.708 90.00 90.00 90.00
Space group Pm-3m (No. 221)
Symmetry-distinct sites (fractional):
H 0.000 0.000 0.500 (multiplicity 3)
Se 0.000 0.000 0.000 (multiplicity 1)
Cl 0.500 0.500 0.500 (multiplicity 1)

Results
**ΔE to the lowest computed polymorph**: 0.5861 eV per atom

=====

Here is an optimized crystal structure of Mn2SiPt from Alexandria. Energies are from PBE.

Lattice parameters (Å, degrees): 9.454 2.793 4.433 90.00 112.28 90.00
Space group Cm (No. 8)
Symmetry-distinct sites (fractional):
Mn 0.000 0.000 0.000 (multiplicity 2)
Mn 0.240 0.000 0.825 (multiplicity 2)
Si 0.228 0.500 0.340 (multiplicity 2)
Pt 0.462 0.000 0.469 (multiplicity 2)

Results
**E_form (uncorrected)**: -213 meV per atom

=====

Here is an optimized crystal structure of Ag2HgCl from Alexandria. Energies are from PBE.

Lattice parameters (Å, degrees): 3.256 3.256 8.005 90.00 90.00 90.00
Space group P4mm (No. 99)
Symmetry-distinct sites (fractional):
Ag 0.000 0.000 0.000 (multiplicity 1)
Ag 0.500 0.500 0.230 (multiplicity 1)
Hg 0.500 0.500 0.754 (multiplicity 1)
Cl 0.000 0.000 0.432 (multiplicity 1)

Results
**E_form (uncorrected)**: -52 meV per atom
**ΔE to the lowest computed polymorph**: 0.0973 eV per atom

=====

Here is an optimized crystal structure of ZrPa4S5 from Alexandria. Energies are from PBE.

Lattice parameters (Å, degrees): 8.617 8.617 5.462 90.00 90.00 90.00
Space group I4/m (No. 87)
Symmetry-distinct sites (fractional):
Zr 0.000 0.000 0.000 (multiplicity 2)
Pa 0.098 0.700 0.500 (multiplicity 8)
S 0.000 0.000 0.500 (multiplicity 2)
S 0.099 0.708 0.000 (multiplicity 8)

Results
**E_form (uncorrected)**: -1578 meV per atom

=====

Here is an optimized crystal structure of LaSn4 from Alexandria. Energies are from PBE.

Lattice parameters (Å, degrees): 5.952 5.952 5.952 90.00 90.00 90.00
Space group Pm-3m (No. 221)
Symmetry-distinct sites (fractional):
La 0.000 0.000 0.000 (multiplicity 1)
Sn 0.000 0.000 0.500 (multiplicity 3)
Sn 0.500 0.500 0.500 (multiplicity 1)

Results
**ΔE to the lowest computed polymorph**: 1.0917 eV per atom
**Energy relative to the elements**: 0.678 eV per atom

=====

Here is an optimized crystal structure of DyZrTi4 from Alexandria. Energies are from PBE.

Lattice parameters (Å, degrees): 7.996 7.996 7.996 90.00 90.00 90.00
Space group F-43m (No. 216)
Symmetry-distinct sites (fractional):
Dy 0.000 0.000 0.000 (multiplicity 4)
Zr 0.250 0.250 0.750 (multiplicity 4)
Ti 0.123 0.123 0.377 (multiplicity 16)

Results
**Energy relative to the elements**: 0.224 eV per atom

=====

Here is an optimized crystal structure of Tb5Y3Er3 from Alexandria. Energies are from PBE.

Lattice parameters (Å, degrees): 11.0933 11.0933 3.4374 90.00 90.00 120.00
Space group P-62m (No. 189)
Symmetry-distinct sites (fractional):
Tb 0.0000 0.1596 0.0000 (multiplicity 3)
Tb 0.3333 0.6667 0.0000 (multiplicity 2)
Y 0.0000 0.6584 0.0000 (multiplicity 3)
Er 0.0000 0.4047 0.5000 (multiplicity 3)

Results
**Energy relative to the elements**: 0.353 eV per atom

=====

Here is an optimized crystal structure of LaBeGe3 from Alexandria. Energies are from PBE.

Lattice parameters (Å, degrees): 11.616 11.129 6.751 90.00 102.61 90.00
Space group C2/c (No. 15)
Symmetry-distinct sites (fractional):
La 0.000 0.099 0.250 (multiplicity 4)
La 0.000 0.325 0.750 (multiplicity 4)
Be 0.100 0.397 0.278 (multiplicity 8)
Ge 0.170 0.102 0.655 (multiplicity 8)
Ge 0.202 0.236 0.146 (multiplicity 8)
Ge 0.210 0.440 0.624 (multiplicity 8)

Results
**ΔE to the lowest computed polymorph**: 0.1227 eV per atom
**Energy relative to the elements**: -0.201 eV per atom

=====

Here is an optimized crystal structure of ScHg2N from Alexandria. Energies are from PBE.

Lattice parameters (Å, degrees): 9.136 9.136 4.134 90.00 90.00 90.00
Space group I-42d (No. 122)
Symmetry-distinct sites (fractional):
Sc 0.000 0.000 0.000 (multiplicity 4)
Hg 0.141 0.750 0.625 (multiplicity 8)
N 0.000 0.000 0.500 (multiplicity 4)

Results
**E_form (uncorrected)**: 22 meV per atom

=====

Here is an optimized crystal structure of PuFeS2 from Alexandria. Energies are from PBE.

Lattice parameters (Å, degrees): 4.1425 4.1425 21.4508 90.00 90.00 120.00
Space group R-3m (No. 166, hexagonal axes)
Symmetry-distinct sites (fractional):
Pu 0.0000 0.0000 0.0000 (multiplicity 3)
Fe 0.0000 0.0000 0.5000 (multiplicity 3)
S 0.0000 0.0000 0.3980 (multiplicity 6)

Results
**E_form (uncorrected)**: -667 meV per atom

=====

Here is an optimized crystal structure of TiCuCl3 from Alexandria. Energies are from PBE.

Lattice parameters (Å, degrees): 4.809 4.809 4.809 90.00 90.00 90.00
Space group Pm-3m (No. 221)
Symmetry-distinct sites (fractional):
Ti 0.000 0.000 0.000 (multiplicity 1)
Cu 0.500 0.500 0.500 (multiplicity 1)
Cl 0.000 0.000 0.500 (multiplicity 3)

Results
**E_form (uncorrected)**: -544 meV per atom
**ΔE to the lowest computed polymorph**: 0.0000 eV per atom

=====

Here is an optimized crystal structure of RbHoScSe3 from Alexandria. Energies are from PBE.

Lattice parameters (Å, degrees): 9.265 4.358 10.316 90.00 109.33 90.00
Space group P2_1/m (No. 11)
Symmetry-distinct sites (fractional):
Rb 0.213 0.250 0.229 (multiplicity 2)
Ho 0.337 0.750 0.868 (multiplicity 2)
Sc 0.088 0.250 0.610 (multiplicity 2)
Se 0.123 0.250 0.868 (multiplicity 2)
Se 0.210 0.750 0.554 (multiplicity 2)
Se 0.470 0.750 0.155 (multiplicity 2)

Results
**E_form (uncorrected)**: -1569 meV per atom

=====

Here is an optimized crystal structure of Cd2SiCl from Alexandria. Energies are from PBE.

Lattice parameters (Å, degrees): 4.118 4.118 10.651 90.00 90.00 90.00
Space group I-4m2 (No. 119)
Symmetry-distinct sites (fractional):
Cd 0.000 0.000 0.000 (multiplicity 2)
Cd 0.000 0.500 0.250 (multiplicity 2)
Si 0.000 0.000 0.500 (multiplicity 2)
Cl 0.000 0.500 0.750 (multiplicity 2)

Results
**E_form (uncorrected)**: 231 meV per atom
**ΔE to the lowest computed polymorph**: 0.3089 eV per atom

=====

Here is an optimized crystal structure of SrMg4Pb4 from Alexandria. Energies are from PBE.

Lattice parameters (Å, degrees): 7.366 7.366 9.908 90.00 90.00 90.00
Space group P4_2/nmc (No. 137, origin choice 2)
Symmetry-distinct sites (fractional):
Sr 0.250 0.750 0.250 (multiplicity 2)
Mg 0.026 0.250 0.162 (multiplicity 8)
Pb 0.019 0.250 0.461 (multiplicity 8)

Results
**Energy relative to the elements**: -0.122 eV per atom

=====

Here is an optimized crystal structure of K6MnTe4 from Alexandria. Energies are from PBE.

Lattice parameters (Å, degrees): 10.9930 10.9930 8.4897 90.00 90.00 120.00
Space group P6_3mc (No. 186)
Symmetry-distinct sites (fractional):
K 0.0519 0.5259 0.0000 (multiplicity 6)
K 0.1476 0.2951 0.6806 (multiplicity 6)
Mn 0.3333 0.6667 0.3850 (multiplicity 2)
Te 0.1946 0.3893 0.2835 (multiplicity 6)
Te 0.3333 0.6667 0.7122 (multiplicity 2)

Results
**E_form (uncorrected)**: -923 meV per atom

=====

Here is an optimized crystal structure of Ti3InAg from Alexandria. Energies are from PBE.

Lattice parameters (Å, degrees): 4.858 4.858 4.858 90.00 90.00 90.00
Space group Pm-3m (No. 221)
Symmetry-distinct sites (fractional):
Ti 0.000 0.000 0.500 (multiplicity 3)
In 0.500 0.500 0.500 (multiplicity 1)
Ag 0.000 0.000 0.000 (multiplicity 1)

Results
**ΔE to the lowest computed polymorph**: 0.8539 eV per atom
**Energy relative to the elements**: 0.836 eV per atom

=====

Here is an optimized crystal structure of SrCaPt2 from Alexandria. Energies are from PBE.

Lattice parameters (Å, degrees): 7.184 7.184 7.184 90.00 90.00 90.00
Space group Fm-3m (No. 225)
Symmetry-distinct sites (fractional):
Sr 0.000 0.000 0.000 (multiplicity 4)
Ca 0.000 0.000 0.500 (multiplicity 4)
Pt 0.250 0.250 0.250 (multiplicity 8)

Results
**ΔE to the lowest computed polymorph**: 0.0502 eV per atom
**Energy relative to the elements**: -0.773 eV per atom

=====

Here is an optimized crystal structure of BaEuNbSbO6 from Alexandria. Energies are from PBE.

Lattice parameters (Å, degrees): 8.543 8.543 8.543 90.00 90.00 90.00
Space group F-43m (No. 216)
Symmetry-distinct sites (fractional):
Ba 0.000 0.000 0.000 (multiplicity 4)
Eu 0.000 0.000 0.500 (multiplicity 4)
Nb 0.250 0.250 0.250 (multiplicity 4)
Sb 0.250 0.250 0.750 (multiplicity 4)
O 0.014 0.250 0.250 (multiplicity 24)

Results
**E_form (uncorrected)**: -2324 meV per atom
**ΔE to the lowest computed polymorph**: 0.0600 eV per atom

=====

Here is an optimized crystal structure of LaCrSe2 from Alexandria. Energies are from PBE.

Lattice parameters (Å, degrees): 5.764 5.764 13.017 90.00 90.00 90.00
Space group I-42d (No. 122)
Symmetry-distinct sites (fractional):
La 0.000 0.000 0.000 (multiplicity 4)
Cr 0.000 0.000 0.500 (multiplicity 4)
Se 0.158 0.250 0.625 (multiplicity 8)

Results
**E_form (uncorrected)**: -593 meV per atom
**ΔE to the lowest computed polymorph**: 0.5106 eV per atom

=====

Looking at final energy for the records above, in order, we have -152.727 -13.469 -61.308 -8.057 -165.902 -17.551 -173.537 -52.347 -188.077 -60.682 -101.151 -20.253 -63.492 -16.350 -47.991 -76.958 -25.097 -75.427 -317.508 -95.563 eV/cell.
Looking at calculated density for the records above, in order, we have 7.27 3.83 10.21 8.84 9.63 4.83 5.78 7.09 5.71 8.86 5.69 3.25 4.50 5.30 6.26 2.99 5.31 9.28 6.39 5.36 g/cm³.